Record 1
# PBEsol SbRh, relaxed
# ΔE_f (raw) ... -0.68 eV/f.u.
# DOS at the Fermi energy ... 1.04 states/eV/f.u.
# Crystal system ... orthorhombic
data_SbRh
_chemical_formula_sum 'Sb4 Rh4'
_space_group_name_H-M_alt 'C m c m'
_space_group_IT_number 63
_space_group_name_Hall '-C 2c 2'
_cell_length_a 3.4107
_cell_length_b 10.3184
_cell_length_c 4.0473
_cell_angle_alpha 90.00
_cell_angle_beta 90.00
_cell_angle_gamma 90.00
loop_
_atom_site_label
_atom_site_fract_x
_atom_site_fract_y
_atom_site_fract_z
Sb1 0.0000 0.1453 0.2500
Rh1 0.0000 0.4081 0.2500

Record 2
# PBEsol SbRh3, relaxed
# ΔE_f (raw) ... -0.34 eV/f.u.
# DOS at the Fermi energy ... 4.60 states/eV/f.u.
# Crystal system ... orthorhombic
data_SbRh3
_chemical_formula_sum 'Sb1 Rh3'
_space_group_name_H-M_alt 'P m m 2'
_space_group_IT_number 25
_cell_length_a 2.9034
_cell_length_b 4.4250
_cell_length_c 4.6780
_cell_angle_alpha 90.00
_cell_angle_beta 90.00
_cell_angle_gamma 90.00
loop_
_space_group_symop_operation_xyz
'x,y,z'
'-x,-y,z'
'-x,y,z'
'x,-y,z'
loop_
_atom_site_label
_atom_site_fract_x
_atom_site_fract_y
_atom_site_fract_z
Sb1 0.0000 0.0000 0.0000
Rh1 0.0000 0.5000 0.6347
Rh2 0.5000 0.0000 0.5082
Rh3 0.5000 0.5000 0.1542

Record 3
# PBEsol SbRh3, relaxed
# ΔE_f (raw) ... -0.26 eV/f.u.
# DOS at the Fermi energy ... 5.28 states/eV/f.u.
# Crystal system ... orthorhombic
data_SbRh3
_chemical_formula_sum 'Sb2 Rh6'
_space_group_name_H-M_alt 'I m m 2'
_space_group_IT_number 44
_cell_length_a 2.9128
_cell_length_b 8.8514
_cell_length_c 4.6897
_cell_angle_alpha 90.00
_cell_angle_beta 90.00
_cell_angle_gamma 90.00
loop_
_space_group_symop_operation_xyz
'x,y,z'
'-x,-y,z'
'-x,y,z'
'x,-y,z'
'x+1/2,y+1/2,z+1/2'
'-x+1/2,-y+1/2,z+1/2'
'-x+1/2,y+1/2,z+1/2'
'x+1/2,-y+1/2,z+1/2'
loop_
_atom_site_label
_atom_site_fract_x
_atom_site_fract_y
_atom_site_fract_z
Sb1 0.0000 0.0000 0.0000
Rh1 0.0000 0.2432 0.6623
Rh2 0.0000 0.5000 0.9783

Record 4
# PBEsol SbRh3, relaxed
# ΔE_f (raw) ... 1.01 eV/f.u.
# DOS at the Fermi energy ... 5.77 states/eV/f.u.
# Crystal system ... hexagonal
data_SbRh3
_chemical_formula_sum 'Sb1 Rh3'
_space_group_name_H-M_alt 'P -6 m 2'
_space_group_IT_number 187
_space_group_name_Hall 'P -6 2'
_cell_length_a 2.9712
_cell_length_b 2.9712
_cell_length_c 8.2258
_cell_angle_alpha 90.00
_cell_angle_beta 90.00
_cell_angle_gamma 120.00
loop_
_atom_site_label
_atom_site_fract_x
_atom_site_fract_y
_atom_site_fract_z
Sb1 0.0000 0.0000 0.0000
Rh1 0.0000 0.0000 0.5000
Rh2 0.6667 0.3333 0.2501

Record 5
# PBEsol SbRh3, relaxed
# ΔE_f (raw) ... -0.81 eV/f.u.
# DOS at the Fermi energy ... 5.86 states/eV/f.u.
# Crystal system ... tetragonal
data_SbRh3
_chemical_formula_sum 'Sb2 Rh6'
_space_group_name_H-M_alt 'I 4/m m m'
_space_group_IT_number 139
_space_group_name_Hall '-I 4 2'
_cell_length_a 3.9702
_cell_length_b 3.9702
_cell_length_c 7.5435
_cell_angle_alpha 90.00
_cell_angle_beta 90.00
_cell_angle_gamma 90.00
loop_
_atom_site_label
_atom_site_fract_x
_atom_site_fract_y
_atom_site_fract_z
Sb1 0.0000 0.0000 0.0000
Rh1 0.0000 0.0000 0.5000
Rh2 0.0000 0.5000 0.2500

Record 6
# PBEsol SbRh, relaxed
# ΔE_f (raw) ... -1.03 eV/f.u.
# DOS at the Fermi energy ... 0.77 states/eV/f.u.
# Crystal system ... orthorhombic
data_SbRh
_chemical_formula_sum 'Sb4 Rh4'
_space_group_name_H-M_alt 'P n m a'
_space_group_IT_number 62
_cell_length_a 5.9640
_cell_length_b 3.8710
_cell_length_c 6.2950
_cell_angle_alpha 90.00
_cell_angle_beta 90.00
_cell_angle_gamma 90.00
loop_
_space_group_symop_operation_xyz
'x,y,z'
'-x,-y,-z'
'-x+1/2,-y,z+1/2'
'x+1/2,y,-z+1/2'
'x+1/2,-y+1/2,-z+1/2'
'-x+1/2,y+1/2,z+1/2'
'-x,y+1/2,-z'
'x,-y+1/2,z'
loop_
_atom_site_label
_atom_site_fract_x
_atom_site_fract_y
_atom_site_fract_z
Sb1 0.1951 0.2500 0.0931
Rh1 0.0073 0.2500 0.6924

Record 7
# PBEsol SbRh2, relaxed
# ΔE_f (raw) ... -1.08 eV/f.u.
# DOS at the Fermi energy ... 2.16 states/eV/f.u.
# Crystal system ... orthorhombic
data_SbRh2
_chemical_formula_sum 'Sb4 Rh8'
_space_group_name_H-M_alt 'P n m a'
_space_group_IT_number 62
_cell_length_a 5.6846
_cell_length_b 4.1755
_cell_length_c 7.9336
_cell_angle_alpha 90.00
_cell_angle_beta 90.00
_cell_angle_gamma 90.00
loop_
_space_group_symop_operation_xyz
'x,y,z'
'-x,-y,-z'
'-x+1/2,-y,z+1/2'
'x+1/2,y,-z+1/2'
'x+1/2,-y+1/2,-z+1/2'
'-x+1/2,y+1/2,z+1/2'
'-x,y+1/2,-z'
'x,-y+1/2,z'
loop_
_atom_site_label
_atom_site_fract_x
_atom_site_fract_y
_atom_site_fract_z
Sb1 0.2115 0.2500 0.1065
Rh1 0.0390 0.2500 0.7962
Rh2 0.1619 0.2500 0.4312

Record 8
# PBEsol Sc2SbRh, relaxed
# ΔE_f (raw) ... -3.42 eV/f.u.
# DOS at the Fermi energy ... 1.22 states/eV/f.u.
# Crystal system ... orthorhombic
data_Sc2SbRh
_chemical_formula_sum 'Sc4 Sb2 Rh2'
_space_group_name_H-M_alt 'A m m 2'
_space_group_IT_number 38
_cell_length_a 4.2545
_cell_length_b 3.5517
_cell_length_c 10.4610
_cell_angle_alpha 90.00
_cell_angle_beta 90.00
_cell_angle_gamma 90.00
loop_
_space_group_symop_operation_xyz
'x,y,z'
'-x,-y,z'
'-x,y,z'
'x,-y,z'
'x,y+1/2,z+1/2'
'-x,-y+1/2,z+1/2'
'-x,y+1/2,z+1/2'
'x,-y+1/2,z+1/2'
loop_
_atom_site_label
_atom_site_fract_x
_atom_site_fract_y
_atom_site_fract_z
Sc1 0.0000 0.0000 0.0000
Sc2 0.5000 0.0000 0.3019
Sb1 0.5000 0.0000 0.5794
Rh1 0.0000 0.0000 0.7499

Record 9
# PBEsol ScSbRh3, relaxed
# ΔE_f (raw) ... 2.37 eV/f.u.
# DOS at the Fermi energy ... 5.98 states/eV/f.u.
# Crystal system ... cubic
data_ScSbRh3
_chemical_formula_sum 'Sc1 Sb1 Rh3'
_space_group_name_H-M_alt 'P m -3 m'
_space_group_IT_number 221
_space_group_name_Hall '-P 4 2 3'
_cell_length_a 4.7180
_cell_length_b 4.7180
_cell_length_c 4.7180
_cell_angle_alpha 90.00
_cell_angle_beta 90.00
_cell_angle_gamma 90.00
loop_
_atom_site_label
_atom_site_fract_x
_atom_site_fract_y
_atom_site_fract_z
Sc1 0.0000 0.0000 0.0000
Sb1 0.5000 0.5000 0.5000
Rh1 0.0000 0.5000 0.5000

Record 10
# PBEsol Sc2SbRh, relaxed
# ΔE_f (raw) ... -1.00 eV/f.u.
# DOS at the Fermi energy ... 4.80 states/eV/f.u.
# Crystal system ... trigonal
data_Sc2SbRh
_chemical_formula_sum 'Sc6 Sb3 Rh3'
_space_group_name_H-M_alt 'R 3 m'
_space_group_IT_number 160
_space_group_name_Hall 'R 3 -2"'
_cell_length_a 3.2643
_cell_length_b 3.2643
_cell_length_c 26.7415
_cell_angle_alpha 90.00
_cell_angle_beta 90.00
_cell_angle_gamma 120.00
loop_
_atom_site_label
_atom_site_fract_x
_atom_site_fract_y
_atom_site_fract_z
Sc1 0.0000 0.0000 0.0000
Sc2 0.0000 0.0000 0.2336
Sb1 0.0000 0.0000 0.4763
Rh1 0.0000 0.0000 0.7361

Record 11
# PBEsol Sc2SbRh, relaxed
# ΔE_f (raw) ... -2.37 eV/f.u.
# DOS at the Fermi energy ... 2.90 states/eV/f.u.
# Crystal system ... trigonal
data_Sc2SbRh
_chemical_formula_sum 'Sc6 Sb3 Rh3'
_space_group_name_H-M_alt 'R -3 m'
_space_group_IT_number 166
_space_group_name_Hall '-R 3 2"'
_cell_length_a 3.3580
_cell_length_b 3.3580
_cell_length_c 24.8612
_cell_angle_alpha 90.00
_cell_angle_beta 90.00
_cell_angle_gamma 120.00
loop_
_atom_site_label
_atom_site_fract_x
_atom_site_fract_y
_atom_site_fract_z
Sc1 0.0000 0.0000 0.2383
Sb1 0.0000 0.0000 0.0000
Rh1 0.0000 0.0000 0.5000

Record 12
# PBEsol SbRhSe2, relaxed
# ΔE_f (raw) ... -0.30 eV/f.u.
# DOS at the Fermi energy ... 2.26 states/eV/f.u.
# Crystal system ... orthorhombic
data_SbRhSe2
_chemical_formula_sum 'Sb2 Rh2 Se4'
_space_group_name_H-M_alt 'I m m 2'
_space_group_IT_number 44
_cell_length_a 3.2728
_cell_length_b 4.2513
_cell_length_c 11.6396
_cell_angle_alpha 90.00
_cell_angle_beta 90.00
_cell_angle_gamma 90.00
loop_
_space_group_symop_operation_xyz
'x,y,z'
'-x,-y,z'
'-x,y,z'
'x,-y,z'
'x+1/2,y+1/2,z+1/2'
'-x+1/2,-y+1/2,z+1/2'
'-x+1/2,y+1/2,z+1/2'
'x+1/2,-y+1/2,z+1/2'
loop_
_atom_site_label
_atom_site_fract_x
_atom_site_fract_y
_atom_site_fract_z
Sb1 0.0000 0.0000 0.0000
Rh1 0.0000 0.5000 0.3104
Se1 0.0000 0.0000 0.6430
Se2 0.0000 0.5000 0.8316

Record 13
# PBEsol Sb2RhSe, relaxed
# ΔE_f (raw) ... -0.33 eV/f.u.
# DOS at the Fermi energy ... 2.31 states/eV/f.u.
# Crystal system ... tetragonal
data_Sb2RhSe
_chemical_formula_sum 'Sb2 Rh1 Se1'
_space_group_name_H-M_alt 'P 4/m m m'
_space_group_IT_number 123
_space_group_name_Hall '-P 4 2'
_cell_length_a 3.3325
_cell_length_b 3.3325
_cell_length_c 7.1717
_cell_angle_alpha 90.00
_cell_angle_beta 90.00
_cell_angle_gamma 90.00
loop_
_atom_site_label
_atom_site_fract_x
_atom_site_fract_y
_atom_site_fract_z
Sb1 0.0000 0.0000 0.2216
Rh1 0.5000 0.5000 0.0000
Se1 0.5000 0.5000 0.5000

Record 14
# PBEsol SbRhSe2, relaxed
# ΔE_f (raw) ... 1.16 eV/f.u.
# DOS at the Fermi energy ... 3.50 states/eV/f.u.
# Crystal system ... trigonal
data_SbRhSe2
_chemical_formula_sum 'Sb3 Rh3 Se6'
_space_group_name_H-M_alt 'R -3 m'
_space_group_IT_number 166
_space_group_name_Hall '-R 3 2"'
_cell_length_a 2.9189
_cell_length_b 2.9189
_cell_length_c 34.9047
_cell_angle_alpha 90.00
_cell_angle_beta 90.00
_cell_angle_gamma 120.00
loop_
_atom_site_label
_atom_site_fract_x
_atom_site_fract_y
_atom_site_fract_z
Sb1 0.0000 0.0000 0.0000
Rh1 0.0000 0.0000 0.5000
Se1 0.0000 0.0000 0.4325